No. 1
A relaxed structure of ReAg2As, computed with GGA-PBE.

As for the space group: No. 122. For the density, the calculation gives 10.88 Mg/m³. For the formation energy, the calculation gives 3.34 eV per formula unit.

Cell: 7.587 7.587 5.059 Å, 90.00 90.00 90.00°
Fractional positions:
Re 0.000 0.000 0.000
Re 0.000 0.500 0.250
Re 0.500 0.000 0.750
Re 0.500 0.500 0.500
Ag 0.233 0.250 0.625
Ag 0.250 0.733 0.875
Ag 0.250 0.767 0.375
Ag 0.267 0.250 0.125
Ag 0.733 0.750 0.125
Ag 0.750 0.233 0.375
Ag 0.750 0.267 0.875
Ag 0.767 0.750 0.625
As 0.000 0.000 0.500
As 0.000 0.500 0.750
As 0.500 0.000 0.250
As 0.500 0.500 0.000

No. 2
A relaxed structure of EuMgInAu, computed with GGA-PBE.

As for the space group: No. 216. For the density, the calculation gives 8.43 Mg/m³. For the formation energy, the calculation gives -1.89 eV per formula unit.

Cell: 7.271 7.271 7.271 Å, 90.00 90.00 90.00°
Fractional positions:
Eu 0.000 0.000 0.000
Eu 0.000 0.500 0.500
Eu 0.500 0.000 0.500
Eu 0.500 0.500 0.000
Mg 0.000 0.000 0.500
Mg 0.000 0.500 0.000
Mg 0.500 0.000 0.000
Mg 0.500 0.500 0.500
In 0.250 0.250 0.750
In 0.250 0.750 0.250
In 0.750 0.250 0.250
In 0.750 0.750 0.750
Au 0.250 0.250 0.250
Au 0.250 0.750 0.750
Au 0.750 0.250 0.750
Au 0.750 0.750 0.250

No. 3
A relaxed structure of KGaHgAu, computed with GGA-PBE.

As for the space group: No. 160. For the density, the calculation gives 7.34 Mg/m³. For the formation energy, the calculation gives -0.77 eV per formula unit.

Cell: 4.620 4.620 18.580 Å, 90.00 90.00 120.00°
Fractional positions:
K 0.000 0.000 0.000
K 0.333 0.667 0.667
K 0.667 0.333 0.333
Ga 0.000 0.000 0.799
Ga 0.333 0.667 0.466
Ga 0.667 0.333 0.132
Hg 0.000 0.000 0.202
Hg 0.333 0.667 0.869
Hg 0.667 0.333 0.536
Au 0.000 0.000 0.467
Au 0.333 0.667 0.134
Au 0.667 0.333 0.801

No. 4
A relaxed structure of BaSrLi2Pd, computed with GGA-PBE.

As for the space group: No. 123. For the density, the calculation gives 3.34 Mg/m³. For the formation energy, the calculation gives -0.14 eV per formula unit.

Cell: 5.401 5.401 5.879 Å, 90.00 90.00 90.00°
Fractional positions:
Ba 0.000 0.000 0.000
Sr 0.500 0.500 0.000
Li 0.000 0.500 0.500
Li 0.500 0.000 0.500
Pd 0.000 0.000 0.500

No. 5
A relaxed structure of Co2SbP, computed with GGA-PBE.

As for the space group: No. 44. Its uncorrected formation energy is -127 meV per atom. For the density, the calculation gives 7.69 Mg/m³.

Cell: 2.972 3.216 12.222 Å, 90.00 90.00 90.00°
Fractional positions:
Co 0.000 0.000 0.000
Co 0.000 0.500 0.321
Co 0.500 0.000 0.821
Co 0.500 0.500 0.500
Sb 0.000 0.000 0.628
Sb 0.500 0.500 0.128
P 0.000 0.500 0.877
P 0.500 0.000 0.377

No. 6
A relaxed structure of MnAs2P, computed with GGA-PBE.

As for the space group: No. 122. For the density, the calculation gives 4.86 Mg/m³. For the formation energy, the calculation gives 1.25 eV per formula unit.

Cell: 5.508 5.508 10.611 Å, 90.00 90.00 90.00°
Fractional positions:
Mn 0.000 0.000 0.000
Mn 0.000 0.500 0.250
Mn 0.500 0.000 0.750
Mn 0.500 0.500 0.500
As 0.228 0.250 0.125
As 0.250 0.728 0.375
As 0.250 0.772 0.875
As 0.272 0.250 0.625
As 0.728 0.750 0.625
As 0.750 0.228 0.875
As 0.750 0.272 0.375
As 0.772 0.750 0.125
P 0.000 0.000 0.500
P 0.000 0.500 0.750
P 0.500 0.000 0.250
P 0.500 0.500 0.000

No. 7
A relaxed structure of ZnSbW2, computed with GGA-PBE.

As for the space group: No. 160. Its uncorrected formation energy is 408 meV per atom. For the density, the calculation gives 12.07 Mg/m³.

Cell: 3.150 3.150 26.645 Å, 90.00 90.00 120.00°
Fractional positions:
Zn 0.000 0.000 0.000
Zn 0.333 0.667 0.667
Zn 0.667 0.333 0.333
Sb 0.000 0.000 0.236
Sb 0.333 0.667 0.903
Sb 0.667 0.333 0.570
W 0.000 0.000 0.482
W 0.000 0.000 0.747
W 0.333 0.667 0.149
W 0.333 0.667 0.414
W 0.667 0.333 0.081
W 0.667 0.333 0.816

No. 8
A relaxed structure of Ba3Mg2Sn3, computed with GGA-PBE.

As for the space group: No. 62. For the density, the calculation gives 4.76 Mg/m³. For the formation energy, the calculation gives -4.25 eV per formula unit.

Cell: 9.491 17.190 6.978 Å, 90.00 90.00 90.00°
Fractional positions:
Ba 0.042 0.108 0.128
Ba 0.042 0.392 0.128
Ba 0.196 0.250 0.588
Ba 0.304 0.750 0.088
Ba 0.458 0.608 0.628
Ba 0.458 0.892 0.628
Ba 0.542 0.108 0.372
Ba 0.542 0.392 0.372
Ba 0.696 0.250 0.912
Ba 0.804 0.750 0.412
Ba 0.958 0.608 0.872
Ba 0.958 0.892 0.872
Mg 0.095 0.597 0.396
Mg 0.095 0.903 0.396
Mg 0.405 0.097 0.896
Mg 0.405 0.403 0.896
Mg 0.595 0.597 0.104
Mg 0.595 0.903 0.104
Mg 0.905 0.097 0.604
Mg 0.905 0.403 0.604
Sn 0.164 0.750 0.574
Sn 0.199 0.037 0.621
Sn 0.199 0.463 0.621
Sn 0.301 0.537 0.121
Sn 0.301 0.963 0.121
Sn 0.336 0.250 0.074
Sn 0.664 0.750 0.926
Sn 0.699 0.037 0.879
Sn 0.699 0.463 0.879
Sn 0.801 0.537 0.379
Sn 0.801 0.963 0.379
Sn 0.836 0.250 0.426

No. 9
A relaxed structure of La3YEr6, computed with GGA-PBE.

As for the space group: No. 36. For the density, the calculation gives 7.42 Mg/m³. For the formation energy, the calculation gives 2.23 eV per formula unit.

Cell: 9.940 9.940 6.852 Å, 90.00 90.00 93.62°
Fractional positions:
La 0.104 0.896 0.500
La 0.262 0.332 0.777
La 0.332 0.262 0.277
La 0.668 0.738 0.777
La 0.738 0.668 0.277
La 0.896 0.104 0.000
Y 0.307 0.693 0.307
Y 0.693 0.307 0.807
Er 0.011 0.220 0.496
Er 0.024 0.450 0.103
Er 0.220 0.011 0.996
Er 0.287 0.713 0.806
Er 0.450 0.024 0.603
Er 0.488 0.512 0.041
Er 0.512 0.488 0.541
Er 0.550 0.976 0.103
Er 0.713 0.287 0.306
Er 0.780 0.989 0.496
Er 0.976 0.550 0.603
Er 0.989 0.780 0.996

No. 10
A relaxed structure of Rb2U2AuSe6, computed with GGA-PBE.

As for the space group: No. 12. Its uncorrected formation energy is -1014 meV per atom. For the density, the calculation gives 5.77 Mg/m³.

Cell: 7.599 7.599 8.402 Å, 96.05 96.05 126.46°
Fractional positions:
Rb 0.145 0.855 0.000
Rb 0.855 0.145 0.000
U 0.338 0.662 0.500
U 0.662 0.338 0.500
Au 0.000 0.000 0.500
Se 0.046 0.443 0.701
Se 0.262 0.262 0.332
Se 0.443 0.046 0.701
Se 0.557 0.954 0.299
Se 0.738 0.738 0.668
Se 0.954 0.557 0.299

No. 11
A relaxed structure of Cs2AsBr6N, computed with GGA-PBE.

As for the space group: No. 139. Its uncorrected formation energy is -437 meV per atom. For the density, the calculation gives 4.23 Mg/m³.

Cell: 8.000 8.000 8.000 Å, 125.40 125.40 80.87°
Fractional positions:
Cs 0.250 0.750 0.500
Cs 0.750 0.250 0.500
As 0.000 0.000 0.000
Br 0.217 0.217 0.000
Br 0.257 0.257 0.513
Br 0.257 0.743 0.000
Br 0.743 0.257 0.000
Br 0.743 0.743 0.487
Br 0.783 0.783 0.000
N 0.500 0.500 0.000

No. 12
A relaxed structure of K4LaCl, computed with GGA-PBE.

As for the space group: No. 216. Its uncorrected formation energy is 180 meV per atom. For the density, the calculation gives 1.59 Mg/m³.

Cell: 7.871 7.871 7.871 Å, 60.00 60.00 60.00°
Fractional positions:
K 0.376 0.376 0.376
K 0.376 0.376 0.873
K 0.376 0.873 0.376
K 0.873 0.376 0.376
La 0.000 0.000 0.000
Cl 0.750 0.750 0.750

No. 13
A relaxed structure of NbAlCo2S, computed with GGA-PBE.

As for the space group: No. 123. Its uncorrected formation energy is -4 meV per atom. For the density, the calculation gives 5.83 Mg/m³.

Cell: 4.081 4.081 4.616 Å, 90.00 90.00 90.00°
Fractional positions:
Nb 0.000 0.000 0.000
Al 0.500 0.500 0.000
Co 0.000 0.500 0.500
Co 0.500 0.000 0.500
S 0.000 0.000 0.500

No. 14
A relaxed structure of GePd6Au2, computed with GGA-PBE.

As for the space group: No. 38. For the density, the calculation gives 12.67 Mg/m³. For the formation energy, the calculation gives -1.70 eV per formula unit.

Cell: 2.899 7.574 7.574 Å, 119.40 90.00 90.00°
Fractional positions:
Ge 0.000 0.000 0.000
Pd 0.000 0.347 0.989
Pd 0.000 0.614 0.614
Pd 0.000 0.989 0.347
Pd 0.500 0.271 0.271
Pd 0.500 0.718 0.978
Pd 0.500 0.978 0.718
Au 0.500 0.316 0.658
Au 0.500 0.658 0.316

No. 15
A relaxed structure of Ti4Co2N, computed with GGA-PBE.

As for the space group: No. 227. Its uncorrected formation energy is -815 meV per atom. For the density, the calculation gives 6.01 Mg/m³.

Cell: 7.964 7.964 7.964 Å, 60.00 60.00 60.00°
Fractional positions:
Ti 0.000 0.000 0.000
Ti 0.000 0.000 0.500
Ti 0.000 0.500 0.000
Ti 0.190 0.190 0.560
Ti 0.190 0.560 0.190
Ti 0.190 0.560 0.560
Ti 0.440 0.440 0.810
Ti 0.440 0.810 0.440
Ti 0.440 0.810 0.810
Ti 0.500 0.000 0.000
Ti 0.560 0.190 0.190
Ti 0.560 0.190 0.560
Ti 0.560 0.560 0.190
Ti 0.810 0.440 0.440
Ti 0.810 0.440 0.810
Ti 0.810 0.810 0.440
Co 0.129 0.790 0.790
Co 0.210 0.210 0.210
Co 0.210 0.210 0.871
Co 0.210 0.871 0.210
Co 0.790 0.129 0.790
Co 0.790 0.790 0.129
Co 0.790 0.790 0.790
Co 0.871 0.210 0.210
N 0.000 0.500 0.500
N 0.500 0.000 0.500
N 0.500 0.500 0.000
N 0.500 0.500 0.500

No. 16
A relaxed structure of Pa2Pd8Au3, computed with GGA-PBE.

As for the space group: No. 166. For the density, the calculation gives 12.67 Mg/m³. For the formation energy, the calculation gives -3.22 eV per formula unit.

Cell: 10.326 10.326 10.326 Å, 30.38 30.38 30.38°
Fractional positions:
Pa 0.127 0.127 0.127
Pa 0.873 0.873 0.873
Pd 0.216 0.216 0.216
Pd 0.225 0.225 0.721
Pd 0.225 0.721 0.225
Pd 0.279 0.775 0.775
Pd 0.721 0.225 0.225
Pd 0.775 0.279 0.775
Pd 0.775 0.775 0.279
Pd 0.784 0.784 0.784
Au 0.310 0.310 0.310
Au 0.500 0.500 0.500
Au 0.690 0.690 0.690

No. 17
A relaxed structure of SiAgMo2, computed with GGA-PBE.

As for the space group: No. 6. Its uncorrected formation energy is 199 meV per atom. For the density, the calculation gives 8.77 Mg/m³.

Cell: 2.776 4.351 5.196 Å, 90.00 98.57 90.00°
Fractional positions:
Si 0.000 0.000 0.000
Ag 0.037 0.500 0.255
Mo 0.426 0.500 0.768
Mo 0.628 0.000 0.512

No. 18
A relaxed structure of KPdPb4, computed with GGA-PBE.

As for the space group: No. 71. For the density, the calculation gives 7.74 Mg/m³. For the formation energy, the calculation gives -1.23 eV per formula unit.

Cell: 9.887 9.887 9.887 Å, 146.01 128.49 63.16°
Fractional positions:
K 0.194 0.194 0.000
K 0.806 0.806 0.000
Pd 0.500 0.252 0.752
Pd 0.500 0.748 0.248
Pb 0.185 0.396 0.789
Pb 0.211 0.000 0.211
Pb 0.351 0.851 0.500
Pb 0.394 0.604 0.789
Pb 0.606 0.396 0.211
Pb 0.649 0.149 0.500
Pb 0.789 0.000 0.789
Pb 0.815 0.604 0.211

No. 19
A relaxed structure of SiGe2N4, computed with GGA-PBE.

As for the space group: No. 227. Its uncorrected formation energy is -195 meV per atom. For the density, the calculation gives 5.66 Mg/m³.

Cell: 5.754 5.754 5.754 Å, 60.00 60.00 60.00°
Fractional positions:
Si 0.125 0.125 0.125
Si 0.875 0.875 0.875
Ge 0.000 0.500 0.500
Ge 0.500 0.000 0.500
Ge 0.500 0.500 0.000
Ge 0.500 0.500 0.500
N 0.253 0.253 0.253
N 0.253 0.253 0.740
N 0.253 0.740 0.253
N 0.260 0.747 0.747
N 0.740 0.253 0.253
N 0.747 0.260 0.747
N 0.747 0.747 0.260
N 0.747 0.747 0.747

No. 20
A relaxed structure of Cd4Pd7Pt, computed with GGA-PBE.

As for the space group: No. 12. For the density, the calculation gives 10.34 Mg/m³. For the formation energy, the calculation gives -0.35 eV per formula unit.

Cell: 5.615 5.615 9.913 Å, 112.81 112.81 52.31°
Fractional positions:
Cd 0.110 0.110 0.277
Cd 0.331 0.331 0.874
Cd 0.669 0.669 0.126
Cd 0.890 0.890 0.723
Pd 0.000 0.000 0.500
Pd 0.132 0.132 0.990
Pd 0.287 0.287 0.582
Pd 0.421 0.421 0.198
Pd 0.579 0.579 0.802
Pd 0.713 0.713 0.418
Pd 0.868 0.868 0.010
Pt 0.500 0.500 0.500

no.,total energy (eV per atom),size of the total moment (μB per formula unit)
1,-4.865,0.899
2,-4.943,7.029
3,-2.119,0.000
4,-2.553,0.000
5,-6.063,0.000
6,-5.658,0.000
7,-7.418,0.000
8,-3.152,0.000
9,-4.639,0.000
10,-5.441,3.000
11,-2.909,2.000
12,-1.681,1.569
13,-6.435,1.926
14,-4.892,0.000
15,-8.546,0.000
16,-5.661,0.000
17,-7.285,0.000
18,-3.725,0.000
19,-7.046,0.000
20,-3.866,0.001